{"formula": "ScBi2Cl", "functional": "PBE-GGA", "state": "relaxed", "lattice": [[-2.271, 2.271, 11.371], [2.271, -2.271, 11.371], [2.271, 2.271, -11.371]], "species": ["Sc", "Sc", "Bi", "Bi", "Bi", "Bi", "Cl", "Cl"], "frac_coords": [[0.000, 0.000, 0.000], [0.750, 0.250, 0.500], [0.094, 0.625, 0.969], [0.375, 0.344, 0.469], [0.656, 0.125, 0.031], [0.875, 0.906, 0.531], [0.250, 0.750, 0.500], [0.500, 0.500, 0.000]], "relative_energy_mev_per_atom": 0.0, "vol_a3_per_cell": 234.5, "final_energy_ev_per_atom": -4.33, "formation_energy_uncorrected_mev_per_atom": -344}

=====

{"formula": "Sc2Bi2Cl", "functional": "PBE-GGA", "state": "relaxed", "lattice": [[7.612, 0.000, 0.000], [0.000, 7.612, 0.000], [0.000, 0.000, 4.333]], "species": ["Sc", "Sc", "Sc", "Sc", "Bi", "Bi", "Bi", "Bi", "Cl", "Cl"], "frac_coords": [[0.164, 0.336, 0.000], [0.336, 0.836, 0.000], [0.664, 0.164, 0.000], [0.836, 0.664, 0.000], [0.144, 0.644, 0.500], [0.356, 0.144, 0.500], [0.644, 0.856, 0.500], [0.856, 0.356, 0.500], [0.000, 0.000, 0.000], [0.500, 0.500, 0.000]], "vol_a3_per_cell": 251.1, "final_energy_ev_per_atom": -5.21, "formation_energy_uncorrected_mev_per_atom": -752}

=====

{"formula": "ScBi2Cl", "functional": "PBE-GGA", "state": "relaxed", "lattice": [[0.000, 3.771, 3.771], [3.771, 0.000, 3.771], [3.771, 3.771, 0.000]], "species": ["Sc", "Bi", "Bi", "Cl"], "frac_coords": [[0.000, 0.000, 0.000], [0.250, 0.250, 0.250], [0.750, 0.750, 0.750], [0.500, 0.500, 0.500]], "relative_energy_mev_per_atom": 199.2, "vol_a3_per_cell": 107.2, "final_energy_ev_per_atom": -4.13, "formation_energy_uncorrected_mev_per_atom": -145}

=====

{"formula": "ScBiCl2", "functional": "PBE-GGA", "state": "relaxed", "lattice": [[-4.267, 4.267, 3.087], [4.267, -4.267, 3.087], [4.267, 4.267, -3.087]], "species": ["Sc", "Sc", "Bi", "Bi", "Cl", "Cl", "Cl", "Cl"], "frac_coords": [[0.000, 0.000, 0.000], [0.750, 0.250, 0.500], [0.250, 0.750, 0.500], [0.500, 0.500, 0.000], [0.005, 0.625, 0.880], [0.375, 0.255, 0.380], [0.745, 0.125, 0.120], [0.875, 0.995, 0.620]], "relative_energy_mev_per_atom": 286.1, "vol_a3_per_cell": 224.8, "final_energy_ev_per_atom": -4.43, "formation_energy_uncorrected_mev_per_atom": -953}

=====

{"formula": "ScBiCl2", "functional": "PBE-GGA", "state": "relaxed", "lattice": [[1.767, 1.020, 10.194], [-1.767, 1.020, 10.194], [0.000, -2.041, 10.194]], "species": ["Sc", "Bi", "Cl", "Cl"], "frac_coords": [[0.000, 0.000, 0.000], [0.500, 0.500, 0.500], [0.078, 0.078, 0.078], [0.922, 0.922, 0.922]], "relative_energy_mev_per_atom": 575.1, "vol_a3_per_cell": 110.3, "final_energy_ev_per_atom": -4.14, "formation_energy_uncorrected_mev_per_atom": -664}

=====

{"formula": "ScBiCl2", "functional": "PBE-GGA", "state": "relaxed", "lattice": [[1.728, 0.997, 11.562], [-1.728, 0.997, 11.562], [0.000, -1.995, 11.562]], "species": ["Sc", "Bi", "Cl", "Cl"], "frac_coords": [[0.000, 0.000, 0.000], [0.500, 0.500, 0.500], [0.379, 0.379, 0.379], [0.621, 0.621, 0.621]], "relative_energy_mev_per_atom": 0.0, "vol_a3_per_cell": 119.5, "final_energy_ev_per_atom": -4.72, "formation_energy_uncorrected_mev_per_atom": -1239}

=====

{"formula": "ScBiCl3", "functional": "PBE-GGA", "state": "relaxed", "lattice": [[5.585, 0.000, 0.000], [0.000, 5.585, 0.000], [0.000, 0.000, 5.585]], "species": ["Sc", "Bi", "Cl", "Cl", "Cl"], "frac_coords": [[0.000, 0.000, 0.000], [0.500, 0.500, 0.500], [0.000, 0.500, 0.500], [0.500, 0.000, 0.500], [0.500, 0.500, 0.000]], "relative_energy_mev_per_atom": 862.0, "vol_a3_per_cell": 174.2, "final_energy_ev_per_atom": -3.28, "formation_energy_uncorrected_mev_per_atom": -132}

=====

{"formula": "ScBiCl3", "functional": "PBE-GGA", "state": "relaxed", "lattice": [[5.156, 0.000, 0.000], [0.000, 5.156, 0.000], [0.000, 0.000, 5.156]], "species": ["Sc", "Bi", "Cl", "Cl", "Cl"], "frac_coords": [[0.000, 0.000, 0.000], [0.500, 0.500, 0.500], [0.000, 0.000, 0.500], [0.000, 0.500, 0.000], [0.500, 0.000, 0.000]], "relative_energy_mev_per_atom": 0.0, "vol_a3_per_cell": 137.1, "final_energy_ev_per_atom": -4.14, "formation_energy_uncorrected_mev_per_atom": -994}

=====

{"formula": "ScBiCl2", "functional": "PBE-GGA", "state": "relaxed", "lattice": [[0.000, 3.573, 3.573], [3.573, 0.000, 3.573], [3.573, 3.573, 0.000]], "species": ["Sc", "Bi", "Cl", "Cl"], "frac_coords": [[0.000, 0.000, 0.000], [0.500, 0.500, 0.500], [0.250, 0.250, 0.250], [0.750, 0.750, 0.750]], "relative_energy_mev_per_atom": 785.1, "vol_a3_per_cell": 91.3, "final_energy_ev_per_atom": -3.93, "formation_energy_uncorrected_mev_per_atom": -454}

=====

{"formula": "ScSnBi2Cl", "functional": "PBE-GGA", "state": "relaxed", "lattice": [[5.772, 0.000, 0.000], [0.000, 5.772, 0.000], [0.000, 0.000, 5.576]], "species": ["Sc", "Sn", "Bi", "Bi", "Cl"], "frac_coords": [[0.000, 0.000, 0.000], [0.000, 0.000, 0.500], [0.000, 0.500, 0.500], [0.500, 0.000, 0.500], [0.500, 0.500, 0.000]], "vol_a3_per_cell": 185.8, "final_energy_ev_per_atom": -3.63, "formation_energy_uncorrected_mev_per_atom": 356}

=====

{"formula": "ScTaBiCl2", "functional": "PBE-GGA", "state": "relaxed", "lattice": [[4.643, 0.000, 0.000], [0.000, 4.643, 0.000], [0.000, 0.000, 6.556]], "species": ["Sc", "Ta", "Bi", "Cl", "Cl"], "frac_coords": [[0.000, 0.000, 0.000], [0.000, 0.000, 0.500], [0.500, 0.500, 0.500], [0.000, 0.500, 0.000], [0.500, 0.000, 0.000]], "vol_a3_per_cell": 141.3, "final_energy_ev_per_atom": -5.18, "formation_energy_uncorrected_mev_per_atom": -32}

=====

{"formula": "ScTcBiCl2", "functional": "PBE-GGA", "state": "relaxed", "lattice": [[4.711, 0.000, 0.000], [0.000, 4.711, 0.000], [0.000, 0.000, 6.097]], "species": ["Sc", "Tc", "Bi", "Cl", "Cl"], "frac_coords": [[0.000, 0.000, 0.000], [0.000, 0.000, 0.500], [0.500, 0.500, 0.500], [0.000, 0.500, 0.000], [0.500, 0.000, 0.000]], "vol_a3_per_cell": 135.3, "final_energy_ev_per_atom": -4.94, "formation_energy_uncorrected_mev_per_atom": -87}